[1]
# Y2Ni5P3 GGA-PBE optimized geometry
# Density of states at the Fermi level = 22.23 states/eV per cell
# Formation energy = -0.878 eV per atom
data_Y2Ni5P3
_space_group_name_H-M_alt 'C m c 21'
_space_group_IT_number 36
_space_group_name_Hall 'C 2c -2'
_cell_length_a 3.7711
_cell_length_b 23.2326
_cell_length_c 6.7207
_cell_angle_alpha 90.00
_cell_angle_beta 90.00
_cell_angle_gamma 90.00
loop_
_atom_site_label
_atom_site_type_symbol
_atom_site_fract_x
_atom_site_fract_y
_atom_site_fract_z
Y1 Y 0.0000 0.0500 0.0000
Y2 Y 0.0000 0.3409 0.1627
Ni1 Ni 0.0000 0.0679 0.5867
Ni2 Ni 0.0000 0.2135 0.9779
Ni3 Ni 0.0000 0.2187 0.3557
Ni4 Ni 0.0000 0.3471 0.6674
Ni5 Ni 0.0000 0.4437 0.8445
P1 P 0.0000 0.1225 0.3299
P2 P 0.0000 0.2527 0.6685
P3 P 0.0000 0.4695 0.1881


[2]
# Y2NiP GGA-PBE optimized geometry
# Density of states at the Fermi level = 2.01 states/eV per cell
# Formation energy = -0.789 eV per atom
data_Y2NiP
_space_group_name_H-M_alt 'P 4/m m m'
_space_group_IT_number 123
_space_group_name_Hall '-P 4 2'
_cell_length_a 4.0005
_cell_length_b 4.0005
_cell_length_c 5.6160
_cell_angle_alpha 90.00
_cell_angle_beta 90.00
_cell_angle_gamma 90.00
loop_
_atom_site_label
_atom_site_type_symbol
_atom_site_fract_x
_atom_site_fract_y
_atom_site_fract_z
Y1 Y 0.0000 0.0000 0.0000
Y2 Y 0.5000 0.5000 0.5000
Ni1 Ni 0.0000 0.0000 0.5000
P1 P 0.5000 0.5000 0.0000


[3]
# YNiP4 GGA-PBE optimized geometry
# Density of states at the Fermi level = 13.82 states/eV per cell
# Formation energy = 0.079 eV per atom
# Energy above the lowest structure with this stoichiometry = 292.0 meV/atom
data_YNiP4
_space_group_name_H-M_alt 'F -4 3 m'
_space_group_IT_number 216
_space_group_name_Hall 'F -4 2 3'
_cell_length_a 7.2580
_cell_length_b 7.2580
_cell_length_c 7.2580
_cell_angle_alpha 90.00
_cell_angle_beta 90.00
_cell_angle_gamma 90.00
loop_
_atom_site_label
_atom_site_type_symbol
_atom_site_fract_x
_atom_site_fract_y
_atom_site_fract_z
Y1 Y 0.0000 0.0000 0.0000
Ni1 Ni 0.2500 0.2500 0.2500
P1 P 0.1186 0.1186 0.6186


[4]
# YNi3P GGA-PBE optimized geometry
# Density of states at the Fermi level = 4.09 states/eV per cell
# Formation energy = 1.527 eV per atom
# Energy above the lowest structure with this stoichiometry = 2020.2 meV/atom
data_YNi3P
_space_group_name_H-M_alt 'P m -3 m'
_space_group_IT_number 221
_space_group_name_Hall '-P 4 2 3'
_cell_length_a 4.6586
_cell_length_b 4.6586
_cell_length_c 4.6586
_cell_angle_alpha 90.00
_cell_angle_beta 90.00
_cell_angle_gamma 90.00
loop_
_atom_site_label
_atom_site_type_symbol
_atom_site_fract_x
_atom_site_fract_y
_atom_site_fract_z
Y1 Y 0.0000 0.0000 0.0000
Ni1 Ni 0.0000 0.0000 0.5000
P1 P 0.5000 0.5000 0.5000


[5]
# YNiP2 GGA-PBE optimized geometry
# Density of states at the Fermi level = 9.99 states/eV per cell
# Formation energy = -0.141 eV per atom
data_YNiP2
_space_group_name_H-M_alt 'F -4 3 m'
_space_group_IT_number 216
_space_group_name_Hall 'F -4 2 3'
_cell_length_a 6.4362
_cell_length_b 6.4362
_cell_length_c 6.4362
_cell_angle_alpha 90.00
_cell_angle_beta 90.00
_cell_angle_gamma 90.00
loop_
_atom_site_label
_atom_site_type_symbol
_atom_site_fract_x
_atom_site_fract_y
_atom_site_fract_z
Y1 Y 0.0000 0.0000 0.0000
Ni1 Ni 0.2500 0.2500 0.7500
P1 P 0.0000 0.0000 0.5000
P2 P 0.2500 0.2500 0.2500


[6]
# Y2NiP GGA-PBE optimized geometry
# Density of states at the Fermi level = 4.93 states/eV per cell
# Formation energy = -0.631 eV per atom
data_Y2NiP
_space_group_name_H-M_alt 'I -4 m 2'
_space_group_IT_number 119
_space_group_name_Hall 'I -4 -2'
_cell_length_a 3.9421
_cell_length_b 3.9421
_cell_length_c 10.5187
_cell_angle_alpha 90.00
_cell_angle_beta 90.00
_cell_angle_gamma 90.00
loop_
_atom_site_label
_atom_site_type_symbol
_atom_site_fract_x
_atom_site_fract_y
_atom_site_fract_z
Y1 Y 0.0000 0.0000 0.0000
Y2 Y 0.0000 0.5000 0.2500
Ni1 Ni 0.0000 0.5000 0.7500
P1 P 0.0000 0.0000 0.5000


[7]
# Y3Ni4P4 GGA-PBE optimized geometry
# Density of states at the Fermi level = 11.87 states/eV per cell
# Formation energy = -1.138 eV per atom
data_Y3Ni4P4
_space_group_name_H-M_alt 'I m m m'
_space_group_IT_number 71
_space_group_name_Hall '-I 2 2'
_cell_length_a 3.8690
_cell_length_b 3.8934
_cell_length_c 22.8847
_cell_angle_alpha 90.00
_cell_angle_beta 90.00
_cell_angle_gamma 90.00
loop_
_atom_site_label
_atom_site_type_symbol
_atom_site_fract_x
_atom_site_fract_y
_atom_site_fract_z
Y1 Y 0.0000 0.0000 0.0000
Y2 Y 0.0000 0.5000 0.3506
Ni1 Ni 0.0000 0.0000 0.2507
Ni2 Ni 0.0000 0.5000 0.0957
P1 P 0.0000 0.0000 0.4483
P2 P 0.0000 0.5000 0.1936


[8]
# YNiP GGA-PBE optimized geometry
# Density of states at the Fermi level = 5.68 states/eV per cell
# Formation energy = -1.039 eV per atom
data_YNiP
_space_group_name_H-M_alt 'P -6 2 m'
_space_group_IT_number 189
_space_group_name_Hall 'P -6 -2'
_cell_length_a 6.6242
_cell_length_b 6.6242
_cell_length_c 3.8884
_cell_angle_alpha 90.00
_cell_angle_beta 90.00
_cell_angle_gamma 120.00
loop_
_atom_site_label
_atom_site_type_symbol
_atom_site_fract_x
_atom_site_fract_y
_atom_site_fract_z
Y1 Y 0.0000 0.5898 0.0000
Ni1 Ni 0.0000 0.2446 0.5000
P1 P 0.0000 0.0000 0.0000
P2 P 0.3333 0.6667 0.5000


[9]
# Y6Ni20P13 GGA-PBE optimized geometry
# Density of states at the Fermi level = 24.36 states/eV per cell
# Formation energy = -0.915 eV per atom
data_Y6Ni20P13
_space_group_name_H-M_alt 'P -6'
_space_group_IT_number 174
_space_group_name_Hall 'P -6'
_cell_length_a 12.6701
_cell_length_b 12.6701
_cell_length_c 3.7600
_cell_angle_alpha 90.00
_cell_angle_beta 90.00
_cell_angle_gamma 120.00
loop_
_atom_site_label
_atom_site_type_symbol
_atom_site_fract_x
_atom_site_fract_y
_atom_site_fract_z
Y1 Y 0.0514 0.1966 0.0000
Y2 Y 0.5211 0.3849 0.5000
Ni1 Ni 0.0000 0.0000 0.5000
Ni2 Ni 0.0136 0.4251 0.0000
Ni3 Ni 0.0871 0.7369 0.5000
Ni4 Ni 0.1838 0.5947 0.5000
Ni5 Ni 0.2289 0.4711 0.0000
Ni6 Ni 0.3121 0.2284 0.0000
Ni7 Ni 0.3552 0.1010 0.5000
Ni8 Ni 0.6667 0.3333 0.0000
P1 P 0.0506 0.6189 0.0000
P2 P 0.1013 0.3884 0.5000
P3 P 0.1964 0.1429 0.5000
P4 P 0.3333 0.6667 0.0000
P5 P 0.4710 0.1896 0.0000


[10]
# Y2NiP GGA-PBE optimized geometry
# Density of states at the Fermi level = 8.50 states/eV per cell
# Formation energy = -0.473 eV per atom
data_Y2NiP
_space_group_name_H-M_alt 'I -4 2 d'
_space_group_IT_number 122
_space_group_name_Hall 'I -4 2bw'
_cell_length_a 7.1733
_cell_length_b 7.1733
_cell_length_c 7.2692
_cell_angle_alpha 90.00
_cell_angle_beta 90.00
_cell_angle_gamma 90.00
loop_
_atom_site_label
_atom_site_type_symbol
_atom_site_fract_x
_atom_site_fract_y
_atom_site_fract_z
Y1 Y 0.2442 0.2500 0.1250
Ni1 Ni 0.0000 0.0000 0.0000
P1 P 0.0000 0.0000 0.5000


[11]
# Y2NiP GGA-PBE optimized geometry
# Density of states at the Fermi level = 9.95 states/eV per cell
# Formation energy = -0.371 eV per atom
data_Y2NiP
_space_group_name_H-M_alt 'C m m 2'
_space_group_IT_number 35
_space_group_name_Hall 'C 2 -2'
_cell_length_a 4.1541
_cell_length_b 5.5941
_cell_length_c 7.6833
_cell_angle_alpha 90.00
_cell_angle_beta 90.00
_cell_angle_gamma 90.00
loop_
_atom_site_label
_atom_site_type_symbol
_atom_site_fract_x
_atom_site_fract_y
_atom_site_fract_z
Y1 Y 0.0000 0.0000 0.0000
Y2 Y 0.0000 0.5000 0.3912
Ni1 Ni 0.0000 0.0000 0.6346
P1 P 0.0000 0.5000 0.7553


[12]
# YNiP GGA-PBE optimized geometry
# Density of states at the Fermi level = 6.05 states/eV per cell
# Formation energy = -0.494 eV per atom
data_YNiP
_space_group_name_H-M_alt 'F m m 2'
_space_group_IT_number 42
_space_group_name_Hall 'F 2 -2'
_cell_length_a 4.3318
_cell_length_b 4.7878
_cell_length_c 9.8491
_cell_angle_alpha 90.00
_cell_angle_beta 90.00
_cell_angle_gamma 90.00
loop_
_atom_site_label
_atom_site_type_symbol
_atom_site_fract_x
_atom_site_fract_y
_atom_site_fract_z
Y1 Y 0.0000 0.0000 0.0000
Ni1 Ni 0.0000 0.0000 0.2952
P1 P 0.0000 0.0000 0.7084